Entry from Alexandria: a geometry-optimized NbSbTe2H structure (GGA-PBE).

The structure in extended XYZ format:
```
5
Lattice="-4.434 2.518 -1.859 -1.222 -4.361 -2.991 -2.882 -2.026 4.131" Properties=species:S:1:pos:R:3 pbc="T T T"
Te -0.611 -2.180 -1.496
Te -2.217 1.259 -0.930
Sb -1.441 -1.013 2.065
H -4.269 -1.934 -0.360
Nb 0.000 0.000 0.000
```

Calculated values
Distance to the lowest polymorph of the same formula ... 43 meV per atom
ρ ... 4.89 g cm⁻³
N(E_F) ... 3.32 states/eV per cell
Magnetization ... 0.538 μB/cell